Entry one
{"formula": "YMnSbTe2", "functional": "GGA-PBE", "state": "relaxed", "lattice_angstrom": [[5.800, 0.000, 0.000], [0.000, 5.800, 0.000], [0.000, 0.000, 5.861]], "species": ["Mn", "Sb", "Te", "Te", "Y"], "fractional_positions": [[0.500, 0.500, 0.500], [0.000, 0.000, 0.500], [0.000, 0.500, 0.000], [0.500, 0.000, 0.000], [0.000, 0.000, 0.000]], "n_ef_per_ev_atom": 1.125, "total_magnetization_mub_per_fu": 4.78, "vol_a3_per_atom": 39.432, "space_group": "P4/mmm, No. 123"}

---

Entry two
{"formula": "YMnSbTe2", "functional": "GGA-PBE", "state": "relaxed", "lattice_angstrom": [[-0.991, -4.095, 3.259], [-0.866, -3.142, -4.213], [4.611, -1.174, -0.073]], "species": ["Te", "Sb", "Mn", "Te", "Y"], "fractional_positions": [[0.000, 0.500, 0.000], [0.000, 0.000, 0.500], [0.000, 0.000, 0.000], [0.500, 0.000, 0.000], [0.500, 0.500, 0.500]], "n_ef_per_ev_atom": 1.003, "total_magnetization_mub_per_fu": 0.19, "vol_a3_per_atom": 27.000, "space_group": "P4/mmm, No. 123"}

---

Name the least stable of them. entry one.

---

Entry one
{"formula": "YMnSb2Te", "functional": "GGA-PBE", "state": "relaxed", "lattice_angstrom": [[-0.220, 3.906, 2.805], [-4.193, 1.219, -2.027], [-2.837, -3.054, 4.031]], "species": ["Mn", "Sb", "Te", "Sb", "Y"], "fractional_positions": [[0.000, 0.000, 0.000], [0.500, 0.000, 0.000], [0.000, 0.000, 0.500], [0.000, 0.500, 0.000], [0.500, 0.500, 0.500]], "n_ef_per_ev_atom": 0.716, "total_magnetization_mub_per_fu": 0.01, "vol_a3_per_atom": 26.876, "space_group": "P4/mmm, No. 123"}

---

Entry two
{"formula": "YMnSb2Te", "functional": "GGA-PBE", "state": "relaxed", "lattice_angstrom": [[-0.930, -5.710, 0.144], [4.602, -0.836, -3.408], [3.371, -0.431, 4.657]], "species": ["Y", "Sb", "Te", "Mn", "Sb"], "fractional_positions": [[0.000, 0.000, 0.000], [0.000, 0.500, 0.000], [0.000, 0.000, 0.500], [0.500, 0.500, 0.500], [0.500, 0.000, 0.000]], "n_ef_per_ev_atom": 1.126, "total_magnetization_mub_per_fu": 4.80, "vol_a3_per_atom": 38.617, "space_group": "P4/mmm, No. 123"}

---

Name the least stable of them. entry two.

---

Entry one
{"formula": "MnZnSb2Te", "functional": "GGA-PBE", "state": "relaxed", "lattice_angstrom": [[-3.595, -0.078, 3.707], [3.340, -2.310, 3.190], [1.685, 4.834, 1.737]], "species": ["Sb", "Sb", "Zn", "Te", "Mn"], "fractional_positions": [[0.500, 0.000, 0.000], [0.000, 0.500, 0.000], [0.000, 0.000, 0.000], [0.000, 0.000, 0.500], [0.500, 0.500, 0.500]], "n_ef_per_ev_atom": 0.875, "total_magnetization_mub_per_fu": 4.27, "vol_a3_per_atom": 28.835, "space_group": "P4/mmm, No. 123"}

---

Entry two
{"formula": "MnZnSb2Te", "functional": "GGA-PBE", "state": "relaxed", "lattice_angstrom": [[5.008, 0.000, 0.000], [0.000, 5.008, 0.000], [0.000, 0.000, 5.347]], "species": ["Te", "Sb", "Mn", "Sb", "Zn"], "fractional_positions": [[0.000, 0.000, 0.500], [0.000, 0.500, 0.000], [0.000, 0.000, 0.000], [0.500, 0.000, 0.000], [0.500, 0.500, 0.500]], "n_ef_per_ev_atom": 0.702, "total_magnetization_mub_per_fu": 2.06, "vol_a3_per_atom": 26.819, "space_group": "P4/mmm, No. 123"}

---

Name the least stable of them. entry one.

---

Entry one
{"formula": "TiMn3Sb", "functional": "GGA-PBE", "state": "relaxed", "lattice_angstrom": [[-3.510, -2.806, -1.853], [3.119, -3.717, -0.280], [-1.255, -1.391, 4.485]], "species": ["Mn", "Mn", "Ti", "Sb", "Mn"], "fractional_positions": [[0.500, 0.000, 0.000], [0.000, 0.000, 0.500], [0.500, 0.500, 0.500], [0.000, 0.000, 0.000], [0.000, 0.500, 0.000]], "n_ef_per_ev_atom": 0.514, "total_magnetization_mub_per_fu": 8.22, "vol_a3_per_atom": 22.966, "space_group": "Pm-3m, No. 221"}

---

Entry two
{"formula": "TiMn3Sb", "functional": "GGA-PBE", "state": "relaxed", "lattice_angstrom": [[4.552, 0.000, 0.000], [0.000, 4.552, 0.000], [0.000, 0.000, 4.552]], "species": ["Sb", "Mn", "Ti", "Mn", "Mn"], "fractional_positions": [[0.500, 0.500, 0.500], [0.000, 0.500, 0.000], [0.000, 0.000, 0.000], [0.500, 0.000, 0.000], [0.000, 0.000, 0.500]], "n_ef_per_ev_atom": 1.312, "total_magnetization_mub_per_fu": 8.43, "vol_a3_per_atom": 18.861, "space_group": "Pm-3m, No. 221"}

---

Name the least stable of them. entry one.

---

Entry one
{"formula": "Mn2TlSb", "functional": "GGA-PBE", "state": "relaxed", "lattice_angstrom": [[4.923, 0.012, 0.149], [3.867, 3.047, 0.149], [3.331, 1.159, 5.974]], "species": ["Mn", "Tl", "Sb", "Mn"], "fractional_positions": [[0.021, 0.021, 0.140], [0.750, 0.750, 0.750], [0.250, 0.250, 0.250], [0.479, 0.479, 0.360]], "n_ef_per_ev_atom": 0.964, "total_magnetization_mub_per_fu": 0.00, "vol_a3_per_atom": 21.914, "space_group": "C2/m, No. 12"}

---

Entry two
{"formula": "Mn2TlSb", "functional": "GGA-PBE", "state": "relaxed", "lattice_angstrom": [[-2.887, 0.282, -1.000], [0.965, -0.372, -2.889], [-1.085, -8.515, 0.733]], "species": ["Tl", "Sb", "Mn", "Mn"], "fractional_positions": [[0.500, 0.500, 0.813], [0.000, 0.000, 0.413], [0.000, 0.000, 0.063], [0.500, 0.500, 0.211]], "n_ef_per_ev_atom": 0.697, "total_magnetization_mub_per_fu": 2.89, "vol_a3_per_atom": 20.274, "space_group": "P4mm, No. 99"}

---

Entry three
{"formula": "Mn2TlSb", "functional": "GGA-PBE", "state": "relaxed", "lattice_angstrom": [[6.841, 0.053, 0.138], [-2.834, 4.082, 0.036], [1.172, 1.125, 2.931]], "species": ["Tl", "Sb", "Mn", "Mn"], "fractional_positions": [[0.500, 0.500, 0.000], [0.000, 0.500, 0.500], [0.000, 0.000, 0.000], [0.500, 0.000, 0.500]], "n_ef_per_ev_atom": 0.942, "total_magnetization_mub_per_fu": 7.41, "vol_a3_per_atom": 20.229, "space_group": "C2/m, No. 12"}

---

Entry four
{"formula": "Mn2TlSb", "functional": "GGA-PBE", "state": "relaxed", "lattice_angstrom": [[7.841, -0.345, -0.204], [7.149, 3.239, -0.204], [7.149, 1.380, 2.937]], "species": ["Tl", "Mn", "Mn", "Sb"], "fractional_positions": [[0.250, 0.250, 0.250], [0.495, 0.495, 0.495], [0.005, 0.005, 0.005], [0.750, 0.750, 0.750]], "n_ef_per_ev_atom": 0.613, "total_magnetization_mub_per_fu": 7.56, "vol_a3_per_atom": 21.815, "space_group": "R-3m, No. 166"}

---

Name the least stable of them. entry one.

---

Entry one
{"formula": "Mn2TlSb", "functional": "GGA-PBE", "state": "relaxed", "lattice_angstrom": [[4.533, 0.000, 0.000], [0.000, 4.533, 0.000], [0.000, 0.000, 3.933]], "species": ["Tl", "Mn", "Sb", "Mn"], "fractional_positions": [[0.000, 0.500, 0.500], [0.500, 0.500, 0.000], [0.500, 0.000, 0.500], [0.000, 0.000, 0.000]], "n_ef_per_ev_atom": 1.074, "total_magnetization_mub_per_fu": 7.64, "vol_a3_per_atom": 20.202, "space_group": "P4/mmm, No. 123"}

---

Entry two
{"formula": "Mn2TlSb", "functional": "GGA-PBE", "state": "relaxed", "lattice_angstrom": [[-2.751, -1.097, 1.913], [0.558, -3.305, -1.094], [3.908, -1.009, 5.043]], "species": ["Tl", "Mn", "Mn", "Sb"], "fractional_positions": [[0.500, 0.500, 0.750], [0.000, 0.000, 0.464], [0.000, 0.000, 0.036], [0.500, 0.500, 0.250]], "n_ef_per_ev_atom": 0.697, "total_magnetization_mub_per_fu": 7.03, "vol_a3_per_atom": 20.078, "space_group": "P4/mmm, No. 123"}

---

Name the least stable of them. entry one.

---

Entry one
{"formula": "Mn2TlSb", "functional": "GGA-PBE", "state": "relaxed", "lattice_angstrom": [[4.070, 0.000, 0.000], [0.000, 3.880, 0.003], [0.000, 1.942, 5.164]], "species": ["Tl", "Sb", "Mn", "Mn"], "fractional_positions": [[0.500, 0.758, 0.856], [0.000, 0.495, 0.386], [0.500, 0.032, 0.313], [0.000, 0.215, 0.944]], "n_ef_per_ev_atom": 0.706, "total_magnetization_mub_per_fu": 7.12, "vol_a3_per_atom": 20.378, "space_group": "Pm, No. 6"}

---

Entry two
{"formula": "Mn2TlSb", "functional": "GGA-PBE", "state": "relaxed", "lattice_angstrom": [[4.594, 0.000, 0.000], [0.000, 4.594, 0.000], [2.297, 2.297, 9.004]], "species": ["Mn", "Tl", "Sb", "Tl", "Mn", "Sb", "Mn", "Mn"], "fractional_positions": [[0.375, 0.404, 0.750], [0.750, 0.250, 0.500], [0.250, 0.750, 0.500], [0.000, 0.000, 0.000], [0.596, 0.125, 0.250], [0.500, 0.500, 0.000], [0.875, 0.846, 0.750], [0.154, 0.625, 0.250]], "n_ef_per_ev_atom": 1.093, "total_magnetization_mub_per_fu": 8.03, "vol_a3_per_atom": 23.758, "space_group": "I-42d, No. 122"}

---

Entry three
{"formula": "Mn2TlSb", "functional": "GGA-PBE", "state": "relaxed", "lattice_angstrom": [[5.055, -0.119, -0.024], [0.987, 4.959, 0.024], [-2.679, -2.846, 3.207]], "species": ["Sb", "Mn", "Mn", "Tl"], "fractional_positions": [[0.750, 0.250, 0.500], [0.504, 0.504, 0.000], [0.996, 0.996, 0.000], [0.250, 0.750, 0.500]], "n_ef_per_ev_atom": 1.035, "total_magnetization_mub_per_fu": 7.34, "vol_a3_per_atom": 20.218, "space_group": "Immm, No. 71"}

---

Entry four
{"formula": "Mn2TlSb", "functional": "GGA-PBE", "state": "relaxed", "lattice_angstrom": [[-2.303, 4.418, -0.220], [-4.644, 0.305, -1.793], [-3.801, 0.987, 3.075]], "species": ["Tl", "Sb", "Mn", "Mn"], "fractional_positions": [[0.250, 0.250, 0.250], [0.500, 0.500, 0.500], [0.750, 0.750, 0.750], [0.000, 0.000, 0.000]], "n_ef_per_ev_atom": 1.410, "total_magnetization_mub_per_fu": 7.98, "vol_a3_per_atom": 21.934, "space_group": "F-43m, No. 216"}

---

Name the least stable of them. entry four.

---

Entry one
{"formula": "Mn2TlSb", "functional": "GGA-PBE", "state": "relaxed", "lattice_angstrom": [[-1.922, -2.376, 1.583], [-0.739, -1.493, -3.140], [4.922, -4.928, -1.421]], "species": ["Sb", "Mn", "Tl", "Mn"], "fractional_positions": [[0.500, 0.250, 0.250], [0.000, 0.908, 0.047], [0.500, 0.750, 0.750], [0.000, 0.592, 0.453]], "n_ef_per_ev_atom": 0.860, "total_magnetization_mub_per_fu": 6.90, "vol_a3_per_atom": 20.574, "space_group": "P2/m, No. 10"}

---

Entry two
{"formula": "Mn2TlSb", "functional": "GGA-PBE", "state": "relaxed", "lattice_angstrom": [[5.639, -0.011, 0.000], [2.708, 4.946, 0.000], [-4.174, -2.468, 2.880]], "species": ["Tl", "Mn", "Sb", "Mn"], "fractional_positions": [[0.750, 0.250, 0.500], [0.250, 0.750, 0.500], [0.500, 0.500, 0.000], [0.000, 0.000, 0.000]], "n_ef_per_ev_atom": 0.542, "total_magnetization_mub_per_fu": 7.48, "vol_a3_per_atom": 20.103, "space_group": "I-4m2, No. 119"}

---

Name the least stable of them. entry one.